# Tl5Mo3F12

An optimized crystal structure of Tl5Mo3F12 (PBE+U, the Alexandria database).

## Properties
- Space-group type: No. 189
- Total magnetic moment: 8.98 μB per formula unit
- Calculated total energy: -4.788 eV per atom

Lattice parameters (Å, degrees): 12.371 12.371 3.411 90.00 90.00 120.00
Fractional coordinates of all 20 atoms:
Tl (0.000, 0.828, 0.000)
Tl (0.172, 0.172, 0.000)
Tl (0.333, 0.667, 0.000)
Tl (0.667, 0.333, 0.000)
Tl (0.828, 0.000, 0.000)
Mo (0.000, 0.374, 0.500)
Mo (0.374, 0.000, 0.500)
Mo (0.626, 0.626, 0.500)
F (0.000, 0.266, 0.000)
F (0.000, 0.479, 0.000)
F (0.192, 0.466, 0.500)
F (0.266, 0.000, 0.000)
F (0.274, 0.808, 0.500)
F (0.466, 0.192, 0.500)
F (0.479, 0.000, 0.000)
F (0.521, 0.521, 0.000)
F (0.534, 0.726, 0.500)
F (0.726, 0.534, 0.500)
F (0.734, 0.734, 0.000)
F (0.808, 0.274, 0.500)